Density functional theory data (PBE-GGA) for crystalline NaAlN2F at its relaxed geometry.

Cell and atoms, written as POSCAR:
```
NaAlN2F
1.0
4.3185 0.0000 0.0000
0.0000 4.3185 0.0000
0.0000 0.0000 3.8477
Na Al N F
1 1 2 1
Direct
0.0000 0.0000 0.0000
0.5000 0.5000 0.5000
0.0000 0.5000 0.0000
0.5000 0.0000 0.0000
0.0000 0.0000 0.5000
```

Excess energy over the best structure of this formula in the dataset (kJ per mole of atoms): 160.5
Symmetry: P4/mmm, No. 123
E_form (uncorrected) (eV/atom): 1.160
M_tot (Bohr magnetons per cell): 3.497